# 1
Density functional theory data (GGA-PBE) for a relaxed Sm2PuO6 crystal.

abc: 3.914 5.452 6.552
angles: 114.58 107.38 90.00
Positions (direct):
Sm 0.335 0.335 0.671
Sm 0.665 0.665 0.329
Pu 0.000 0.000 0.000
O 0.847 0.086 0.694
O 0.153 0.392 0.306
O 0.153 0.914 0.306
O 0.500 0.225 0.000
O 0.847 0.608 0.694
O 0.500 0.775 0.000

Results
Space group: Immm, No. 71

=====

# 2
Density functional theory data (GGA-PBE) for a relaxed SrSmPu2O8 crystal.

abc: 5.479 5.479 6.587
angles: 114.58 114.58 90.00
Positions (direct):
Sr 0.750 0.250 0.500
Sm 0.000 0.000 0.000
Pu 0.500 0.500 0.000
Pu 0.250 0.750 0.500
O 0.879 0.844 0.245
O 0.366 0.401 0.245
O 0.599 0.634 0.755
O 0.155 0.121 0.755
O 0.879 0.401 0.245
O 0.366 0.845 0.245
O 0.156 0.634 0.755
O 0.599 0.121 0.755

Results
Space group: I-4m2, No. 119

=====

# 3
Density functional theory data (GGA-PBE) for a relaxed SrSm2PuO8 crystal.

abc: 4.184 5.409 7.667
angles: 90.00 90.00 96.41
Positions (direct):
Sr 0.000 0.000 0.500
Sm 0.500 0.500 0.752
Sm 0.500 0.500 0.248
Pu 0.000 0.000 0.000
O 0.049 0.762 0.203
O 0.573 0.781 0.000
O 0.951 0.238 0.203
O 0.951 0.238 0.797
O 0.427 0.219 0.000
O 0.049 0.762 0.797
O 0.488 0.730 0.500
O 0.512 0.270 0.500

Results
Space group: P2/m, No. 10

=====

# 4
Density functional theory data (GGA-PBE) for a relaxed SrSmPuO6 crystal.

abc: 5.912 5.912 10.049
angles: 90.00 90.00 120.00
Positions (direct):
Sr 0.000 0.000 0.000
Sr 0.000 0.000 0.500
Sm 0.333 0.667 0.250
Sm 0.667 0.333 0.750
Pu 0.667 0.333 0.250
Pu 0.333 0.667 0.750
O 0.655 0.615 0.141
O 0.960 0.345 0.141
O 0.345 0.960 0.641
O 0.040 0.655 0.859
O 0.385 0.345 0.359
O 0.960 0.615 0.359
O 0.615 0.960 0.859
O 0.655 0.040 0.359
O 0.040 0.385 0.641
O 0.385 0.040 0.141
O 0.615 0.655 0.641
O 0.345 0.385 0.859

Results
Space group: P-31c, No. 163

=====

# 5
Density functional theory data (GGA-PBE) for a relaxed Tb2SmPuO8 crystal.

abc: 5.132 5.137 7.064
angles: 90.00 90.00 90.51
Positions (direct):
Tb 0.500 0.500 0.742
Tb 0.500 0.500 0.258
Sm 0.000 0.000 0.500
Pu 0.000 0.000 0.000
O 0.184 0.815 0.217
O 0.723 0.724 0.000
O 0.816 0.185 0.217
O 0.816 0.185 0.783
O 0.277 0.276 0.000
O 0.184 0.815 0.783
O 0.687 0.688 0.500
O 0.313 0.312 0.500

Results
Space group: P2/m, No. 10

=====

# 6
Density functional theory data (GGA-PBE) for a relaxed TbSmPuO6 crystal.

abc: 5.777 5.777 9.616
angles: 90.00 90.00 120.00
Positions (direct):
Tb 0.333 0.667 0.250
Tb 0.667 0.333 0.750
Sm 0.000 0.000 0.000
Sm 0.000 0.000 0.500
Pu 0.667 0.333 0.250
Pu 0.333 0.667 0.750
O 0.666 0.638 0.135
O 0.972 0.334 0.135
O 0.334 0.972 0.635
O 0.028 0.666 0.865
O 0.362 0.334 0.365
O 0.972 0.638 0.365
O 0.638 0.972 0.865
O 0.666 0.028 0.365
O 0.028 0.362 0.635
O 0.362 0.028 0.135
O 0.638 0.666 0.635
O 0.334 0.362 0.865

Results
Space group: P-31c, No. 163

=====

# 7
Density functional theory data (GGA-PBE) for a relaxed TbSm2PuO8 crystal.

abc: 3.968 5.504 7.525
angles: 91.45 89.59 95.81
Positions (direct):
Tb 0.000 0.000 0.500
Sm 0.500 0.488 0.740
Sm 0.500 0.512 0.260
Pu 0.000 0.000 0.000
O 0.038 0.754 0.230
O 0.568 0.782 0.003
O 0.952 0.219 0.215
O 0.962 0.246 0.770
O 0.432 0.218 0.997
O 0.048 0.781 0.785
O 0.505 0.751 0.510
O 0.495 0.249 0.490

Results
Space group: P-1, No. 2

=====

# 8
Density functional theory data (GGA-PBE) for a relaxed SmPu3Tl4O12 crystal.

abc: 7.526 7.526 7.526
angles: 109.47 109.47 109.47
Positions (direct):
Sm 0.000 0.000 0.000
Pu 0.500 0.000 0.500
Pu 0.500 0.500 0.000
Pu 0.000 0.500 0.500
Tl 0.500 0.500 0.500
Tl 0.000 0.000 0.500
Tl 0.500 0.000 0.000
Tl 0.000 0.500 0.000
O 0.250 0.500 0.750
O 0.730 0.000 0.730
O 0.270 0.000 0.270
O 0.750 0.500 0.250
O 0.730 0.730 0.000
O 0.270 0.270 0.000
O 0.750 0.250 0.500
O 0.250 0.750 0.500
O 0.500 0.250 0.750
O 0.000 0.730 0.730
O 0.500 0.750 0.250
O 0.000 0.270 0.270

Results
Space group: Im-3m, No. 229

=====

no.,VASP energy (eV per cell)
1,-81.1
2,-108.8
3,-98.0
4,-152.0
5,-104.7
6,-161.5
7,-104.4
8,-160.0